First-principles (PBE) data for crystalline Ba2InHg3Bi4 at its relaxed geometry, as listed in Alexandria via LeMat-Bulk.

Calculated values
Final energy   -2.66 eV/atom
Magnetic moment   0.00 μB per formula unit

Lattice parameters (Å, degrees): 4.928 4.928 14.313 90.00 90.00 90.00
Positions (direct):
Ba: 0.500 0.000 0.239
Ba: 0.000 0.500 0.761
In: 0.500 0.500 0.500
Hg: 0.000 0.000 0.500
Hg: 0.500 0.000 0.856
Hg: 0.000 0.500 0.144
Bi: 0.500 0.500 0.000
Bi: 0.000 0.000 0.000
Bi: 0.500 0.000 0.645
Bi: 0.000 0.500 0.355